A plane-wave DFT calculation with GGA-PBE was carried out for a relaxed structure of Pr4Nd6Er.

Summary:
Size of the total moment (μB/f.u.): 0.0
Formation enthalpy at 0 K (eV per formula unit): 2.962

a b c (Å): 9.7816 9.7816 9.7816
angles (deg): 59.32 139.04 139.04
Fractional positions:
Pr (0.0000, 0.6336, 0.0115)
Pr (0.3780, 0.3664, 0.3664)
Pr (0.0000, 0.0115, 0.6336)
Pr (0.6220, 0.9885, 0.9885)
Nd (0.0000, 0.7931, 0.4468)
Nd (0.0000, 0.4468, 0.7931)
Nd (0.3463, 0.5532, 0.5532)
Nd (0.5000, 0.5000, 0.0000)
Nd (0.6537, 0.2069, 0.2069)
Nd (0.5000, 0.0000, 0.5000)
Er (0.0000, 0.0000, 0.0000)

***

A plane-wave DFT calculation with GGA-PBE was carried out for a relaxed structure of Pr2Nd7Er4.

Summary:
Size of the total moment (μB/f.u.): 0.0
Formation enthalpy at 0 K (eV per formula unit): 2.353

a b c (Å): 6.2358 6.2358 13.2351
angles (deg): 90.00 90.00 120.00
Fractional positions:
Pr (0.6667, 0.3333, 0.0000)
Pr (0.3333, 0.6667, 0.0000)
Nd (0.0000, 0.6284, 0.7733)
Nd (0.0000, 0.3716, 0.2267)
Nd (0.0000, 0.0000, 0.0000)
Nd (0.6284, 0.0000, 0.7733)
Nd (0.3716, 0.0000, 0.2267)
Nd (0.6284, 0.6284, 0.2267)
Nd (0.3716, 0.3716, 0.7733)
Er (0.0000, 0.0000, 0.6068)
Er (0.0000, 0.0000, 0.3932)
Er (0.6667, 0.3333, 0.5000)
Er (0.3333, 0.6667, 0.5000)

***

A plane-wave DFT calculation with GGA-PBE was carried out for a relaxed structure of Pr5Nd12Er2.

Summary:
Size of the total moment (μB/f.u.): 0.0
Formation enthalpy at 0 K (eV per formula unit): 2.493

a b c (Å): 7.2224 8.8706 11.9021
angles (deg): 109.48 107.66 90.00
Fractional positions:
Pr (0.7520, 0.5114, 0.5040)
Pr (0.6492, 0.0953, 0.2984)
Pr (0.0000, 0.5000, 0.0000)
Pr (0.3508, 0.9047, 0.7016)
Pr (0.2480, 0.4886, 0.4960)
Nd (0.8593, 0.9447, 0.7185)
Nd (0.4540, 0.7937, 0.4021)
Nd (0.9482, 0.7937, 0.4021)
Nd (0.3621, 0.3827, 0.2107)
Nd (0.8486, 0.3827, 0.2107)
Nd (0.5484, 0.6958, 0.0967)
Nd (0.4516, 0.3042, 0.9033)
Nd (0.6379, 0.6173, 0.7893)
Nd (0.1514, 0.6173, 0.7893)
Nd (0.5460, 0.2063, 0.5979)
Nd (0.0518, 0.2063, 0.5979)
Nd (0.1407, 0.0553, 0.2815)
Er (0.7418, 0.0000, 0.0000)
Er (0.2582, 0.0000, 0.0000)

***

A plane-wave DFT calculation with GGA-PBE was carried out for a relaxed structure of Pr3Nd7Er.

Summary:
Size of the total moment (μB/f.u.): 0.0
Formation enthalpy at 0 K (eV per formula unit): 1.778

a b c (Å): 8.8630 7.2691 7.2691
angles (deg): 120.00 90.00 90.00
Fractional positions:
Pr (0.7818, 0.4995, 0.5005)
Pr (0.7818, 0.4995, 0.9990)
Pr (0.7818, 0.0010, 0.5005)
Nd (0.1171, 0.1671, 0.8329)
Nd (0.1171, 0.1671, 0.3343)
Nd (0.1234, 0.6667, 0.3333)
Nd (0.4507, 0.8332, 0.1668)
Nd (0.4507, 0.3336, 0.1668)
Nd (0.4507, 0.8332, 0.6664)
Nd (0.1171, 0.6657, 0.8329)
Er (0.4429, 0.3333, 0.6667)